[1]
## SrCdTc2B (GGA-PBE)

Data for a relaxed SrCdTc2B crystal.

Results
Magnetic moment = 5.2 μB/f.u.
Crystal system = tetragonal
Energy relative to the elements = 2.417 eV per atom

Cell lengths 5.0773, 5.8686, 5.0773 Å; angles 90.00, 90.00, 90.00 degrees
With the nearest neighbours (Å) after each atom.
Element x y z (fractional)
Cd (0.0000, 0.0000, 0.0000)  4 Tc 2.54
Tc (0.5000, 0.0000, 0.0000)  2 Cd 2.54
Tc (0.0000, 0.0000, 0.5000)  2 Cd 2.54
Sr (0.0000, 0.5000, 0.0000)  2 Cd 2.93
B (0.5000, 0.5000, 0.5000)  4 Sr 3.59, 8 Tc 3.88

[2]
## TaCdB3 (GGA-PBE)

Data for a relaxed TaCdB3 crystal.

Results
Magnetic moment = 0.0 μB/f.u.
Crystal system = cubic
Energy relative to the elements = 2.427 eV per atom

Cell lengths 4.1664, 4.1664, 4.1664 Å; angles 90.00, 90.00, 90.00 degrees
With the nearest neighbours (Å) after each atom.
Element x y z (fractional)
B (0.0000, 0.5000, 0.0000)  2 Cd 2.08
B (0.0000, 0.0000, 0.5000)  2 Cd 2.08
B (0.5000, 0.0000, 0.0000)  2 Cd 2.08
Cd (0.0000, 0.0000, 0.0000)  6 B 2.08
Ta (0.5000, 0.5000, 0.5000)  12 B 2.95

[3]
## Ta2CdB (GGA-PBE)

Data for a relaxed Ta2CdB crystal.

Results
Magnetic moment = 0.0 μB/f.u.
Crystal system = cubic
Energy relative to the elements = 0.844 eV per atom

Cell lengths 4.4586, 4.4586, 4.4586 Å; angles 60.00, 60.00, 60.00 degrees
With the nearest neighbours (Å) after each atom.
Element x y z (fractional)
Ta (0.2500, 0.2500, 0.2500)  4 Cd 2.73, 4 B 2.73
Ta (0.7500, 0.7500, 0.7500)  4 Cd 2.73, 4 B 2.73
Cd (0.5000, 0.5000, 0.5000)  8 Ta 2.73
B (0.0000, 0.0000, 0.0000)  8 Ta 2.73